This record from Alexandria via LeMat-Bulk describes crystalline LaZnInMo2 at its relaxed geometry. The functional is PBE.

For the formation energy, the calculation gives 6.32 eV per formula unit.

The space group is P4/mmm (No. 123) and the conventional cell measures 5.160, 5.160 and 4.745 Å, with angles of 90.00, 90.00 and 90.00 degrees. The inequivalent atoms are La at (0.000, 0.000, 0.000), Zn at (0.500, 0.500, 0.000), In at (0.500, 0.500, 0.500) and Mo at (0.000, 0.500, 0.500).

This record from Alexandria via LeMat-Bulk describes crystalline Mg2CrInN4 at its relaxed geometry. The functional is PBE.

For the uncorrected energy, the calculation gives -6.553 eV/atom.

The space group is I-42m (No. 121) and the conventional cell measures 4.823, 4.823 and 8.984 Å, with angles of 90.00, 90.00 and 90.00 degrees. The inequivalent atoms are Mg at (0.000, 0.500, 0.250), Cr at (0.000, 0.000, 0.000), In at (0.000, 0.000, 0.500) and N at (0.213, 0.213, 0.117).

This record from Alexandria via LeMat-Bulk describes crystalline DyY2Ru at its relaxed geometry. The functional is PBE.

For the formation energy, the calculation gives -1.17 eV per formula unit. The energy above the lowest structure with this stoichiometry comes out at 21.0 meV per atom.

The space group is Cmcm (No. 63) and the conventional cell measures 3.907, 11.960 and 9.168 Å, with angles of 90.00, 90.00 and 90.00 degrees. The inequivalent atoms are Dy at (0.000, 0.078, 0.250), Y at (0.000, 0.357, 0.068) and Ru at (0.000, 0.259, 0.750).